1.
Computed, not measured: a relaxed Sm6Tm7 crystal at the PBE level of DFT.

Cell lengths 6.626, 6.626, 12.164 Å; angles 74.20, 74.20, 60.00 degrees
Site moments in Bohr magnetons follow the coordinates.
Sites, in units of the cell vectors:
Sm: 0.952 0.952 0.143  0.45
Sm: 0.048 0.048 0.857  0.45
Sm: 0.849 0.849 0.452  0.49
Sm: 0.151 0.151 0.548  0.49
Sm: 0.667 0.667 0.000  0.41
Sm: 0.333 0.333 0.000  0.41
Tm: 0.411 0.914 0.264  0.46
Tm: 0.411 0.411 0.264  0.46
Tm: 0.914 0.411 0.264  0.46
Tm: 0.589 0.086 0.736  0.46
Tm: 0.086 0.589 0.736  0.46
Tm: 0.589 0.589 0.736  0.46
Tm: 0.500 0.500 0.500  0.46

Properties
For the formation energy, the calculation gives 0.265 eV/atom. The calculation puts the total magnetization at 10.15 μB per formula unit. The density of states at the Fermi level is 28.88 states/eV/cell.


2.
Computed, not measured: a relaxed Li2BeCl crystal at the PBE level of DFT.

Cell lengths 3.179, 3.232, 6.561 Å; angles 60.86, 90.00, 90.00 degrees
Sites, in units of the cell vectors:
Be: 0.500 0.250 0.250
Cl: 0.500 0.750 0.750
Li: 0.000 0.984 0.012
Li: 0.000 0.516 0.488

Properties
Its relative energy among the computed polymorphs is 0.0 meV/atom. As for the formation energy without anion corrections: -0.37 eV per atom. The calculation puts the total magnetization at 0.00 μB per formula unit. The density of states at the Fermi level is 0.63 states/eV/cell.


3.
Computed, not measured: a relaxed Th4InAu2 crystal at the PBE level of DFT.

Cell lengths 4.623, 4.623, 11.899 Å; angles 78.80, 78.80, 60.00 degrees
Sites, in units of the cell vectors:
Th: 0.696 0.696 0.911
Th: 0.885 0.885 0.345
Th: 0.304 0.304 0.089
Th: 0.115 0.115 0.655
In: 0.500 0.500 0.500
Au: 0.596 0.596 0.212
Au: 0.404 0.404 0.788

Properties
For the formation energy, the calculation gives -0.152 eV/atom. The calculation puts the total magnetization at 0.00 μB per formula unit. The density of states at the Fermi level is 10.21 states/eV/cell.


4.
Computed, not measured: a relaxed As2WS crystal at the PBE level of DFT.

Cell lengths 5.819, 5.819, 6.988 Å; angles 65.40, 65.40, 90.00 degrees
Sites, in units of the cell vectors:
As: 0.649 0.125 0.250
As: 0.101 0.625 0.250
As: 0.375 0.351 0.750
As: 0.875 0.899 0.750
S: 0.500 0.500 0.000
S: 0.250 0.750 0.500
W: 0.000 0.000 0.000
W: 0.750 0.250 0.500

Properties
As for the formation energy without anion corrections: 0.65 eV per atom. The calculation puts the total magnetization at 0.00 μB per formula unit. The density of states at the Fermi level is 4.15 states/eV/cell.


5.
Computed, not measured: a relaxed LiSc3Se2F6 crystal at the PBE level of DFT.

Cell lengths 5.612, 6.898, 6.763 Å; angles 120.66, 77.08, 90.00 degrees
Sites, in units of the cell vectors:
Li: 0.500 0.000 0.000
Sc: 0.000 0.500 0.000
Sc: 0.500 0.500 0.500
Sc: 0.500 0.000 0.500
Se: 0.202 0.685 0.369
Se: 0.798 0.315 0.631
F: 0.755 0.378 0.175
F: 0.245 0.622 0.825
F: 0.598 0.833 0.666
F: 0.402 0.167 0.334
F: 0.245 0.203 0.825
F: 0.755 0.797 0.175

Properties
As for the formation energy without anion corrections: -3.05 eV per atom. The calculation puts the total magnetization at 0.00 μB per formula unit. The density of states at the Fermi level is 0.00 states/eV/cell.


6.
Computed, not measured: a relaxed Fe5CuPd8 crystal at the PBE level of DFT.

Cell lengths 6.499, 6.499, 6.499 Å; angles 109.32, 109.78, 109.32 degrees
Site moments in Bohr magnetons follow the coordinates.
Sites, in units of the cell vectors:
Fe: 0.011 0.279 0.092  3.08
Fe: 0.908 0.919 0.187  3.08
Fe: 0.813 0.721 0.732  3.08
Fe: 0.500 0.000 0.500  3.24
Fe: 0.268 0.081 0.989  3.08
Cu: 0.250 0.500 0.750  0.10
Pd: 0.138 0.688 0.058  0.31
Pd: 0.942 0.081 0.631  0.31
Pd: 0.745 0.272 0.349  0.26
Pd: 0.651 0.396 0.923  0.26
Pd: 0.527 0.604 0.255  0.26
Pd: 0.550 0.919 0.862  0.31
Pd: 0.369 0.312 0.450  0.31
Pd: 0.077 0.728 0.473  0.26

Properties
For the formation energy, the calculation gives 0.122 eV/atom. The calculation puts the total magnetization at 17.96 μB per formula unit. The density of states at the Fermi level is 11.19 states/eV/cell.


7.
Computed, not measured: a relaxed K3SeI crystal at the PBE level of DFT.

Cell lengths 8.485, 8.810, 12.107 Å; angles 90.00, 90.00, 90.00 degrees
Sites, in units of the cell vectors:
K: 0.797 0.206 0.938
K: 0.297 0.294 0.438
K: 0.297 0.294 0.062
K: 0.203 0.794 0.438
K: 0.203 0.794 0.062
K: 0.703 0.706 0.562
K: 0.703 0.706 0.938
K: 0.797 0.206 0.562
K: 0.614 0.948 0.250
K: 0.114 0.552 0.750
K: 0.386 0.052 0.750
K: 0.886 0.448 0.250
Se: 0.500 0.000 0.000
Se: 0.000 0.500 0.500
Se: 0.000 0.500 0.000
Se: 0.500 0.000 0.500
I: 0.479 0.558 0.250
I: 0.979 0.942 0.750
I: 0.521 0.442 0.750
I: 0.021 0.058 0.250

Properties
Its relative energy among the computed polymorphs is 0.0 meV/atom. As for the formation energy without anion corrections: -1.21 eV per atom. The calculation puts the total magnetization at 0.00 μB per formula unit. The density of states at the Fermi level is 0.00 states/eV/cell.


8.
Computed, not measured: a relaxed Sc2TiHRh crystal at the PBE level of DFT.

Cell lengths 4.547, 4.547, 3.662 Å; angles 90.00, 90.00, 90.00 degrees
Site moments in Bohr magnetons follow the coordinates.
Sites, in units of the cell vectors:
Sc: 0.000 0.500 0.000  0.19
Sc: 0.500 0.000 0.000  0.19
H: 0.000 0.000 0.000  -0.01
Rh: 0.500 0.500 0.500  -0.01
Ti: 0.000 0.000 0.500  0.98

Properties
The total energy comes out at -33.3 eV for the cell shown. The calculation puts the total magnetization at 1.78 μB per formula unit. The density of states at the Fermi level is 5.44 states/eV/cell.


9.
Computed, not measured: a relaxed Sn2PF crystal at the PBE level of DFT.

Cell lengths 5.112, 5.112, 8.294 Å; angles 72.05, 72.05, 90.00 degrees
Sites, in units of the cell vectors:
P: 0.000 0.000 0.000
P: 0.750 0.250 0.500
Sn: 0.569 0.125 0.250
Sn: 0.181 0.625 0.250
Sn: 0.375 0.431 0.750
Sn: 0.875 0.819 0.750
F: 0.500 0.500 0.000
F: 0.250 0.750 0.500

Properties
Its relative energy among the computed polymorphs is 22.5 meV/atom. As for the formation energy without anion corrections: -0.57 eV per atom. The calculation puts the total magnetization at 0.00 μB per formula unit. The density of states at the Fermi level is 0.50 states/eV/cell.


10.
Computed, not measured: a relaxed LiCuPO4 crystal at the PBE level of DFT.

Cell lengths 5.280, 7.714, 8.840 Å; angles 75.18, 90.00, 90.00 degrees
Site moments in Bohr magnetons follow the coordinates.
Sites, in units of the cell vectors:
Li: 0.141 0.957 0.919  0.00
Li: 0.707 0.483 0.744  0.00
Li: 0.859 0.957 0.419  0.00
Li: 0.293 0.483 0.244  0.00
Cu: 0.679 0.885 0.781  -0.56
Cu: 0.207 0.368 0.629  0.58
Cu: 0.321 0.885 0.281  -0.56
Cu: 0.793 0.368 0.129  0.58
P: 0.315 0.248 0.993  -0.01
P: 0.201 0.746 0.663  0.00
P: 0.685 0.248 0.493  -0.01
P: 0.799 0.746 0.163  0.00
O: 0.807 0.860 0.990  -0.06
O: 0.587 0.325 0.955  0.05
O: 0.314 0.852 0.775  -0.07
O: 0.927 0.697 0.720  -0.06
O: 0.170 0.239 0.842  0.09
O: 0.370 0.578 0.670  0.05
O: 0.193 0.860 0.490  -0.06
O: 0.831 0.358 0.588  0.04
O: 0.686 0.044 0.578  -0.04
O: 0.413 0.325 0.455  0.05
O: 0.686 0.852 0.275  -0.07
O: 0.073 0.697 0.220  -0.06
O: 0.830 0.239 0.342  0.09
O: 0.630 0.578 0.170  0.05
O: 0.169 0.358 0.088  0.04
O: 0.314 0.044 0.078  -0.04

Properties
Its relative energy among the computed polymorphs is 49.0 meV/atom. As for the formation energy without anion corrections: -1.76 eV per atom. The calculation puts the total magnetization at 0.02 μB per formula unit. The density of states at the Fermi level is 1.58 states/eV/cell.


11.
Computed, not measured: a relaxed LaTb2Ho9 crystal at the PBE level of DFT.

Cell lengths 3.518, 11.234, 11.234 Å; angles 120.00, 90.00, 90.00 degrees
Sites, in units of the cell vectors:
La: 0.000 0.000 0.000
Tb: 0.000 0.333 0.667
Tb: 0.000 0.667 0.333
Ho: 0.000 0.000 0.500
Ho: 0.000 0.500 0.500
Ho: 0.000 0.500 0.000
Ho: 0.500 0.358 0.179
Ho: 0.500 0.179 0.821
Ho: 0.500 0.179 0.358
Ho: 0.500 0.821 0.642
Ho: 0.500 0.821 0.179
Ho: 0.500 0.642 0.821

Properties
Its relative energy among the computed polymorphs is 12.7 meV/atom. For the formation energy, the calculation gives 0.039 eV/atom. The calculation puts the total magnetization at 0.00 μB per formula unit. The density of states at the Fermi level is 16.91 states/eV/cell.


12.
Computed, not measured: a relaxed Er8Tm2Th crystal at the PBE level of DFT.

Cell lengths 5.364, 8.124, 9.289 Å; angles 115.93, 106.78, 90.00 degrees
Sites, in units of the cell vectors:
Tm: 0.200 0.700 0.400
Tm: 0.800 0.300 0.600
Th: 0.500 0.000 0.000
Er: 0.644 0.852 0.288
Er: 0.356 0.564 0.712
Er: 0.159 0.159 0.318
Er: 0.000 0.293 0.000
Er: 0.841 0.841 0.682
Er: 0.644 0.436 0.288
Er: 0.356 0.148 0.712
Er: 0.000 0.707 0.000

Properties
Its relative energy among the computed polymorphs is 93.3 meV/atom. For the formation energy, the calculation gives 0.124 eV/atom. The calculation puts the total magnetization at 0.00 μB per formula unit. The density of states at the Fermi level is 17.23 states/eV/cell.